## w
LaFeSb2 | GGA-PBE | optimized geometry

Summary:
Theoretical density (Mg/m³): 7.4

Lattice parameters (Å, degrees): 3.409 5.897 9.830 90.00 90.00 90.00
Space group Immm (No. 71)
One atom of each set of equivalent atoms:
La 0.000 0.000 0.000
Fe 0.000 0.000 0.500
Sb 0.000 0.500 0.198

## x
LaFeSb2 | GGA-PBE | optimized geometry

Summary:
Theoretical density (Mg/m³): 7.1

Lattice parameters (Å, degrees): 3.338 3.338 9.199 90.00 90.00 90.00
Space group P4mm (No. 99)
One atom of each set of equivalent atoms:
La 0.000 0.000 0.000
Fe 0.500 0.500 0.769
Sb 0.000 0.000 0.634
Sb 0.500 0.500 0.276

w takes first place; second place is 145 meV/atom up.

## w
LaFeSb2 | GGA-PBE | optimized geometry

Summary:
Theoretical density (Mg/m³): 7.7

Lattice parameters (Å, degrees): 3.506 3.523 7.611 90.00 90.00 90.00
Space group Pmmm (No. 47)
One atom of each set of equivalent atoms:
La 0.000 0.000 0.000
Fe 0.000 0.000 0.500
Sb 0.500 0.500 0.301

## x
LaFeSb2 | GGA-PBE | optimized geometry

Summary:
Theoretical density (Mg/m³): 6.5

Lattice parameters (Å, degrees): 4.352 5.078 5.091 90.00 90.02 90.00
Space group Pm (No. 6)
One atom of each set of equivalent atoms:
La 0.000 0.000 0.000
Fe 0.497 0.500 0.653
Sb 0.500 0.000 0.506
Sb 0.500 0.500 0.139

## y
LaFeSb2 | GGA-PBE | optimized geometry

Summary:
Theoretical density (Mg/m³): 7.7

Lattice parameters (Å, degrees): 7.224 7.224 7.224 90.00 90.00 90.00
Space group Fm-3m (No. 225)
One atom of each set of equivalent atoms:
La 0.000 0.000 0.000
Fe 0.000 0.000 0.500
Sb 0.250 0.250 0.250

## z
LaFeSb2 | GGA-PBE | optimized geometry

Summary:
Theoretical density (Mg/m³): 6.1

Lattice parameters (Å, degrees): 5.374 5.374 16.650 90.00 90.00 90.00
Space group I-42d (No. 122)
One atom of each set of equivalent atoms:
La 0.000 0.000 0.000
Fe 0.000 0.000 0.500
Sb 0.114 0.250 0.625

x takes first place; second place is 99 meV/atom up.

## w
LaFeSb2 | GGA-PBE | optimized geometry

Summary:
Theoretical density (Mg/m³): 7.3

Lattice parameters (Å, degrees): 7.369 7.369 7.369 90.00 90.00 90.00
Space group F-43m (No. 216)
One atom of each set of equivalent atoms:
La 0.000 0.000 0.000
Fe 0.250 0.250 0.750
Sb 0.000 0.000 0.500
Sb 0.250 0.250 0.250

## x
LaFeSb2 | GGA-PBE | optimized geometry

Summary:
Theoretical density (Mg/m³): 7.6

Lattice parameters (Å, degrees): 4.2601 4.2601 18.3868 90.00 90.00 120.00
Space group R-3m (No. 166, hexagonal axes)
One atom of each set of equivalent atoms:
La 0.0000 0.0000 0.0000
Fe 0.0000 0.0000 0.5000
Sb 0.0000 0.0000 0.2229

## y
LaFeSb2 | GGA-PBE | optimized geometry

Summary:
Theoretical density (Mg/m³): 7.5

Lattice parameters (Å, degrees): 4.382 4.382 10.149 90.00 90.00 90.00
Space group P4/nmm (No. 129, origin choice 2)
One atom of each set of equivalent atoms:
La 0.250 0.250 0.243
Fe 0.250 0.750 0.000
Sb 0.250 0.250 0.871
Sb 0.250 0.750 0.500

y takes first place; second place is 151 meV/atom up.

## w
LaFeSbTe2 | GGA-PBE | optimized geometry

Summary:
Theoretical density (Mg/m³): 4.2

Lattice parameters (Å, degrees): 6.071 6.071 6.180 90.00 90.00 90.00
Space group P4/mmm (No. 123)
One atom of each set of equivalent atoms:
La 0.000 0.000 0.000
Fe 0.500 0.500 0.500
Sb 0.000 0.000 0.500
Te 0.000 0.500 0.000

## x
LaFeSbTe2 | GGA-PBE | optimized geometry

Summary:
Theoretical density (Mg/m³): 6.9

Lattice parameters (Å, degrees): 5.327 5.327 4.883 90.00 90.00 90.00
Space group P4/mmm (No. 123)
One atom of each set of equivalent atoms:
La 0.000 0.000 0.000
Fe 0.500 0.500 0.500
Sb 0.500 0.500 0.000
Te 0.000 0.500 0.500

x takes first place; second place is 1071 meV/atom up.

## w
LaSc3Fe | GGA-PBE | optimized geometry

Summary:
Theoretical density (Mg/m³): 4.2

Lattice parameters (Å, degrees): 5.077 5.077 5.077 90.00 90.00 90.00
Space group Pm-3m (No. 221)
One atom of each set of equivalent atoms:
La 0.000 0.000 0.000
Sc 0.000 0.000 0.500
Fe 0.500 0.500 0.500

## x
LaSc3Fe | GGA-PBE | optimized geometry

Summary:
Theoretical density (Mg/m³): 4.4

Lattice parameters (Å, degrees): 4.979 4.979 4.979 90.00 90.00 90.00
Space group Pm-3m (No. 221)
One atom of each set of equivalent atoms:
La 0.000 0.000 0.000
Sc 0.000 0.500 0.500
Fe 0.500 0.500 0.500

x takes first place; second place is 1600 meV/atom up.

## w
LaFeSe | GGA-PBE | optimized geometry

Summary:
Theoretical density (Mg/m³): 7.0

Lattice parameters (Å, degrees): 3.527 3.527 10.484 90.00 90.00 90.00
Space group I4mm (No. 107)
One atom of each set of equivalent atoms:
La 0.000 0.000 0.000
Fe 0.000 0.000 0.309
Se 0.000 0.000 0.706

## x
LaFeSe | GGA-PBE | optimized geometry

Summary:
Theoretical density (Mg/m³): 7.3

Lattice parameters (Å, degrees): 6.297 6.297 6.297 90.00 90.00 90.00
Space group F-43m (No. 216)
One atom of each set of equivalent atoms:
La 0.000 0.000 0.000
Fe 0.250 0.250 0.250
Se 0.000 0.000 0.500

x takes first place; second place is 68 meV/atom up.

## w
LaFeSe | GGA-PBE | optimized geometry

Summary:
Theoretical density (Mg/m³): 5.2

Lattice parameters (Å, degrees): 7.036 7.036 7.036 90.00 90.00 90.00
Space group F-43m (No. 216)
One atom of each set of equivalent atoms:
La 0.000 0.000 0.000
Fe 0.250 0.250 0.750
Se 0.250 0.250 0.250

## x
LaFeSe | GGA-PBE | optimized geometry

Summary:
Theoretical density (Mg/m³): 7.3

Lattice parameters (Å, degrees): 4.2114 4.2114 4.0334 90.00 90.00 120.00
Space group P-6m2 (No. 187)
One atom of each set of equivalent atoms:
La 0.0000 0.0000 0.0000
Fe 0.6667 0.3333 0.5000
Se 0.3333 0.6667 0.5000

x takes first place; second place is 735 meV/atom up.

## w
LaFeSe3 | GGA-PBE | optimized geometry

Summary:
Theoretical density (Mg/m³): 6.3

Lattice parameters (Å, degrees): 4.837 4.837 4.837 90.00 90.00 90.00
Space group Pm-3m (No. 221)
One atom of each set of equivalent atoms:
La 0.000 0.000 0.000
Fe 0.500 0.500 0.500
Se 0.000 0.500 0.500

## x
LaFeSe3 | GGA-PBE | optimized geometry

Summary:
Theoretical density (Mg/m³): 3.8

Lattice parameters (Å, degrees): 5.714 5.714 5.714 90.00 90.00 90.00
Space group Pm-3m (No. 221)
One atom of each set of equivalent atoms:
La 0.000 0.000 0.000
Fe 0.500 0.500 0.500
Se 0.000 0.000 0.500

w takes first place; second place is 1144 meV/atom up.